a | First-principles (PBE) data for Co2MoPt after structural relaxation, as listed in Alexandria.

a b c (Å): 4.262 4.262 4.262
angles (deg): 60.00 60.00 60.00
Fractional coordinates of all 4 atoms:
1 Co 0.000 0.000 0.000
2 Co 0.250 0.250 0.250
3 Mo 0.500 0.500 0.500
4 Pt 0.750 0.750 0.750

b | First-principles (PBE) data for Co2MoPt after structural relaxation, as listed in Alexandria.

a b c (Å): 2.674 2.674 7.417
angles (deg): 90.00 90.00 90.00
Fractional coordinates of all 4 atoms:
1 Co 0.000 0.000 0.001
2 Co 0.000 0.000 0.499
3 Mo 0.500 0.500 0.250
4 Pt 0.500 0.500 0.750

c | First-principles (PBE) data for Co2MoPt after structural relaxation, as listed in Alexandria.

a b c (Å): 4.518 4.518 2.685
angles (deg): 90.00 90.00 106.92
Fractional coordinates of all 4 atoms:
1 Co 0.000 0.000 0.000
2 Co 0.500 0.500 0.000
3 Mo 0.500 0.000 0.500
4 Pt 0.000 0.500 0.500

d | First-principles (PBE) data for Co2MoPt after structural relaxation, as listed in Alexandria.

a b c (Å): 4.632 4.632 4.631
angles (deg): 132.87 132.86 68.88
Fractional coordinates of all 4 atoms:
1 Mo 0.500 0.500 0.000
2 Co 0.000 0.000 0.000
3 Co 0.750 0.250 0.500
4 Pt 0.250 0.750 0.500

Stability summary: most stable d, least stable a.

a | First-principles (PBE) data for Co2MoPt after structural relaxation, as listed in Alexandria.

a b c (Å): 4.190 4.190 4.190
angles (deg): 60.00 60.00 60.00
Fractional coordinates of all 4 atoms:
1 Mo 0.000 0.000 0.000
2 Co 0.250 0.250 0.250
3 Co 0.750 0.750 0.750
4 Pt 0.500 0.500 0.500

b | First-principles (PBE) data for Co2MoPt after structural relaxation, as listed in Alexandria.

a b c (Å): 2.677 3.610 5.420
angles (deg): 90.00 90.00 90.00
Fractional coordinates of all 4 atoms:
1 Co 0.000 0.000 0.010
2 Co 0.000 0.000 0.490
3 Mo 0.500 0.500 0.250
4 Pt 0.500 0.500 0.750

Stability summary: most stable b, least stable a.

a | First-principles (PBE) data for Co2MoPt after structural relaxation, as listed in Alexandria.

a b c (Å): 8.784 8.784 8.784
angles (deg): 17.60 17.60 17.60
Fractional coordinates of all 4 atoms:
1 Co 0.994 0.994 0.994
2 Co 0.254 0.254 0.254
3 Mo 0.505 0.505 0.505
4 Pt 0.747 0.747 0.747

b | First-principles (PBE) data for Co2MoPt after structural relaxation, as listed in Alexandria.

a b c (Å): 8.790 8.790 8.790
angles (deg): 17.57 17.57 17.57
Fractional coordinates of all 4 atoms:
1 Co 0.999 0.999 0.999
2 Co 0.501 0.501 0.501
3 Mo 0.250 0.250 0.250
4 Pt 0.750 0.750 0.750

Stability summary: most stable a, least stable b.

a | First-principles (PBE) data for RbCoMo2 after structural relaxation, as listed in Alexandria.

a b c (Å): 4.531 4.531 4.531
angles (deg): 60.00 60.00 60.00
Fractional coordinates of all 4 atoms:
1 Mo 0.250 0.250 0.250
2 Mo 0.750 0.750 0.750
3 Co 0.000 0.000 0.000
4 Rb 0.500 0.500 0.500

b | First-principles (PBE) data for RbCoMo2 after structural relaxation, as listed in Alexandria.

a b c (Å): 5.044 5.044 8.914
angles (deg): 73.57 73.57 90.00
Fractional coordinates of all 8 atoms:
1 Mo 0.375 0.125 0.250
2 Mo 0.375 0.625 0.250
3 Mo 0.375 0.625 0.750
4 Mo 0.875 0.625 0.750
5 Co 0.500 0.500 0.000
6 Co 0.250 0.750 0.500
7 Rb 0.000 0.000 0.000
8 Rb 0.750 0.250 0.500

Stability summary: most stable b, least stable a.

a | First-principles (PBE) data for RbCoMo3 after structural relaxation, as listed in Alexandria.

a b c (Å): 4.717 4.717 4.717
angles (deg): 90.00 90.00 90.00
Fractional coordinates of all 5 atoms:
1 Mo 0.000 0.500 0.000
2 Mo 0.000 0.000 0.500
3 Mo 0.500 0.000 0.000
4 Co 0.000 0.000 0.000
5 Rb 0.500 0.500 0.500

b | First-principles (PBE) data for RbCoMo3 after structural relaxation, as listed in Alexandria.

a b c (Å): 4.605 4.605 4.605
angles (deg): 90.00 90.00 90.00
Fractional coordinates of all 5 atoms:
1 Mo 0.000 0.500 0.000
2 Mo 0.000 0.000 0.500
3 Mo 0.500 0.000 0.000
4 Co 0.500 0.500 0.500
5 Rb 0.000 0.000 0.000

Stability summary: most stable a, least stable b.

a | First-principles (PBE) data for CoRe2Mo2 after structural relaxation, as listed in Alexandria.

a b c (Å): 7.288 7.288 2.981
angles (deg): 90.00 90.00 90.00
Fractional coordinates of all 10 atoms:
1 Re 0.359 0.859 0.000
2 Re 0.859 0.641 0.000
3 Re 0.641 0.141 0.000
4 Re 0.141 0.359 0.000
5 Mo 0.161 0.661 0.500
6 Mo 0.661 0.839 0.500
7 Mo 0.839 0.339 0.500
8 Mo 0.339 0.161 0.500
9 Co 0.000 0.000 0.000
10 Co 0.500 0.500 0.000

b | First-principles (PBE) data for CoRe2Mo2 after structural relaxation, as listed in Alexandria.

a b c (Å): 7.186 7.186 7.186
angles (deg): 151.69 151.69 40.47
Fractional coordinates of all 5 atoms:
1 Co 0.000 0.000 0.000
2 Re 0.250 0.750 0.500
3 Re 0.750 0.250 0.500
4 Mo 0.590 0.590 0.000
5 Mo 0.410 0.410 0.000

c | First-principles (PBE) data for CoRe2Mo2 after structural relaxation, as listed in Alexandria.

a b c (Å): 4.185 4.185 6.047
angles (deg): 69.75 69.75 90.00
Fractional coordinates of all 5 atoms:
1 Re 0.382 0.382 0.236
2 Re 0.618 0.618 0.764
3 Mo 0.750 0.250 0.500
4 Mo 0.250 0.750 0.500
5 Co 0.000 0.000 0.000

Stability summary: most stable a, least stable c.

a | First-principles (PBE) data for CoReMo2 after structural relaxation, as listed in Alexandria.

a b c (Å): 2.664 2.664 8.311
angles (deg): 90.00 90.00 103.10
Fractional coordinates of all 4 atoms:
1 Co 0.500 0.500 0.743
2 Mo 0.000 0.000 0.979
3 Mo 0.500 0.500 0.254
4 Re 0.000 0.000 0.524

b | First-principles (PBE) data for CoReMo2 after structural relaxation, as listed in Alexandria.

a b c (Å): 2.678 2.678 8.242
angles (deg): 90.00 90.00 104.24
Fractional coordinates of all 4 atoms:
1 Co 0.500 0.500 0.750
2 Mo 0.000 0.000 0.980
3 Mo 0.000 0.000 0.520
4 Re 0.500 0.500 0.250

Stability summary: most stable a, least stable b.

a | First-principles (PBE) data for CoReMo2 after structural relaxation, as listed in Alexandria.

a b c (Å): 4.319 2.655 5.194
angles (deg): 78.75 90.00 90.00
Fractional coordinates of all 4 atoms:
1 Co 0.500 0.750 0.750
2 Mo 0.000 0.014 0.995
3 Mo 0.000 0.486 0.505
4 Re 0.500 0.250 0.250

b | First-principles (PBE) data for CoReMo2 after structural relaxation, as listed in Alexandria.

a b c (Å): 2.683 2.683 7.967
angles (deg): 90.00 90.00 90.00
Fractional coordinates of all 4 atoms:
1 Co 0.500 0.500 0.750
2 Mo 0.000 0.000 0.977
3 Mo 0.000 0.000 0.523
4 Re 0.500 0.500 0.250

Stability summary: most stable a, least stable b.

a | First-principles (PBE) data for CoReMo2 after structural relaxation, as listed in Alexandria.

a b c (Å): 4.722 4.722 4.760
angles (deg): 80.59 80.59 33.48
Fractional coordinates of all 4 atoms:
1 Co 0.754 0.754 0.749
2 Mo 0.013 0.013 0.983
3 Mo 0.248 0.248 0.257
4 Re 0.485 0.485 0.512

b | First-principles (PBE) data for CoReMo2 after structural relaxation, as listed in Alexandria.

a b c (Å): 3.847 3.860 3.860
angles (deg): 90.00 90.00 90.00
Fractional coordinates of all 4 atoms:
1 Co 0.500 0.000 0.500
2 Mo 0.000 0.000 0.000
3 Mo 0.000 0.500 0.500
4 Re 0.500 0.500 0.000

c | First-principles (PBE) data for CoReMo2 after structural relaxation, as listed in Alexandria.

a b c (Å): 9.102 9.102 9.102
angles (deg): 17.29 17.29 17.29
Fractional coordinates of all 4 atoms:
1 Co 0.750 0.750 0.750
2 Mo 0.004 0.004 0.004
3 Mo 0.496 0.496 0.496
4 Re 0.250 0.250 0.250

d | First-principles (PBE) data for CoReMo2 after structural relaxation, as listed in Alexandria.

a b c (Å): 5.041 5.041 5.041
angles (deg): 143.20 129.51 64.10
Fractional coordinates of all 4 atoms:
1 Co 0.751 0.251 0.500
2 Mo 0.006 0.006 0.000
3 Mo 0.250 0.750 0.500
4 Re 0.493 0.493 0.000

Stability summary: most stable b, least stable c.

a | First-principles (PBE) data for CoReMo2 after structural relaxation, as listed in Alexandria.

a b c (Å): 4.357 2.652 5.133
angles (deg): 80.30 90.00 90.00
Fractional coordinates of all 4 atoms:
1 Co 0.500 0.744 0.756
2 Mo 0.000 0.015 0.987
3 Mo 0.500 0.249 0.256
4 Re 0.000 0.492 0.501

b | First-principles (PBE) data for CoReMo2 after structural relaxation, as listed in Alexandria.

a b c (Å): 4.715 4.715 4.759
angles (deg): 80.48 80.48 33.50
Fractional coordinates of all 4 atoms:
1 Co 0.750 0.750 0.750
2 Mo 0.009 0.009 0.989
3 Mo 0.491 0.491 0.511
4 Re 0.250 0.250 0.250

c | First-principles (PBE) data for CoReMo2 after structural relaxation, as listed in Alexandria.

a b c (Å): 4.361 4.361 4.361
angles (deg): 60.00 60.00 60.00
Fractional coordinates of all 4 atoms:
1 Re 0.500 0.500 0.500
2 Mo 0.250 0.250 0.250
3 Mo 0.750 0.750 0.750
4 Co 0.000 0.000 0.000

Stability summary: most stable a, least stable b.

a | First-principles (PBE) data for CoReMo2 after structural relaxation, as listed in Alexandria.

a b c (Å): 4.731 4.731 2.742
angles (deg): 90.00 90.00 109.66
Fractional coordinates of all 4 atoms:
1 Co 0.000 0.500 0.500
2 Mo 0.000 0.000 0.000
3 Mo 0.500 0.500 0.000
4 Re 0.500 0.000 0.500

b | First-principles (PBE) data for CoReMo2 after structural relaxation, as listed in Alexandria.

a b c (Å): 2.660 2.660 8.142
angles (deg): 90.00 90.00 90.00
Fractional coordinates of all 4 atoms:
1 Co 0.500 0.500 0.740
2 Mo 0.000 0.000 0.975
3 Mo 0.500 0.500 0.256
4 Re 0.000 0.000 0.530

Stability summary: most stable b, least stable a.

a | First-principles (PBE) data for CoReMo2 after structural relaxation, as listed in Alexandria.

a b c (Å): 2.638 3.900 5.648
angles (deg): 90.00 90.00 90.00
Fractional coordinates of all 4 atoms:
1 Co 0.500 0.500 0.744
2 Mo 0.000 0.000 0.978
3 Mo 0.500 0.500 0.256
4 Re 0.000 0.000 0.522

b | First-principles (PBE) data for CoReMo2 after structural relaxation, as listed in Alexandria.

a b c (Å): 4.356 4.356 4.356
angles (deg): 60.00 60.00 60.00
Fractional coordinates of all 4 atoms:
1 Co 0.500 0.500 0.500
2 Mo 0.000 0.000 0.000
3 Mo 0.750 0.750 0.750
4 Re 0.250 0.250 0.250

Stability summary: most stable a, least stable b.